1.
Entry from the Alexandria database: a crystal of RbNa2SrP relaxed with PBEsol (SCAN).

Cell lengths 6.293, 6.293, 7.228 Å; angles 90.00, 90.00, 90.00 degrees
Site moments in Bohr magnetons follow the coordinates.
Sites, in units of the cell vectors:
Na 0.500 0.000 0.000  -0.05
Rb 0.000 0.000 0.500  -0.03
Sr 0.000 0.000 0.000  -0.14
Na 0.000 0.500 0.000  -0.05
P 0.500 0.500 0.500  0.65

Its space group is P4/mmm. The value obtained for the mass density is 1.45 Mg/m³. The total magnetization is 0.0218 μB per atom. Its formation energy is 1061 meV per atom. As for the total DFT energy (no corrections): -56.54 eV/cell. As for the density of states at the Fermi level: 3.90 states/eV/f.u.

2.
Entry from the Alexandria database: a crystal of Na4CrO4 relaxed with PBEsol (SCAN).

Cell lengths 5.678, 5.676, 8.603 Å; angles 80.89, 71.09, 68.37 degrees
Site moments in Bohr magnetons follow the coordinates.
Sites, in units of the cell vectors:
Na 0.241 0.753 0.987  0.00
Na 0.948 0.241 0.603  0.00
O 0.363 0.470 0.197  0.03
O 0.838 0.473 0.361  0.02
Na 0.606 0.735 0.180  0.00
O 0.637 0.530 0.803  0.03
Cr 0.844 0.720 0.756  1.80
O 0.851 0.849 0.927  0.01
O 0.297 0.028 0.376  0.03
Na 0.522 0.265 0.432  0.00
Cr 0.156 0.280 0.244  1.80
O 0.162 0.527 0.639  0.02
O 0.149 0.151 0.073  0.01
O 0.703 0.972 0.624  0.03
Na 0.052 0.759 0.397  0.00
Na 0.394 0.265 0.820  0.00
Na 0.478 0.735 0.568  0.00
Na 0.759 0.247 0.013  0.00

Its space group is P-1. The value obtained for the mass density is 2.84 Mg/m³. The total magnetization is 0.2222 μB per atom. As for the total DFT energy (no corrections): -155.47 eV/cell.

3.
Entry from the Alexandria database: a crystal of Y2HfO5 relaxed with PBEsol (SCAN).

Cell lengths 6.429, 7.085, 9.384 Å; angles 90.00, 105.42, 90.00 degrees
Sites, in units of the cell vectors:
Y 0.462 0.129 0.146
O 0.064 0.388 0.391
Hf 0.557 0.388 0.820
Y 0.038 0.629 0.854
O 0.936 0.612 0.609
O 0.987 0.130 0.604
O 0.242 0.896 0.960
O 0.125 0.667 0.171
O 0.513 0.630 0.396
Hf 0.443 0.612 0.180
Hf 0.943 0.888 0.180
O 0.758 0.104 0.040
O 0.258 0.396 0.040
O 0.845 0.897 0.782
O 0.742 0.604 0.960
O 0.345 0.603 0.782
Y 0.742 0.874 0.526
O 0.013 0.870 0.396
Y 0.962 0.371 0.146
Y 0.538 0.871 0.854
O 0.655 0.397 0.218
O 0.375 0.167 0.829
Y 0.758 0.374 0.474
Y 0.258 0.126 0.474
O 0.155 0.103 0.218
O 0.625 0.833 0.171
O 0.436 0.888 0.609
O 0.564 0.112 0.391
O 0.875 0.333 0.829
Y 0.242 0.626 0.526
Hf 0.057 0.112 0.820
O 0.487 0.370 0.604

Its space group is P2_1/c. The value obtained for the mass density is 7.03 Mg/m³. The total magnetization is 0.0000 μB per atom. As for the total DFT energy (no corrections): -721.27 eV/cell. As for the density of states at the Fermi level: 0.00 states/eV/f.u.